Below is a geometry-optimized Nd2DyAs3Rh4 structure, with properties calculated at the PBE-GGA level.

crystal system: tetragonal
E_tot: -6.713 eV/atom
density: 9.2 Mg/m³
M_tot: 0.00 μB per formula unit
ΔE_f: -9.6 eV per formula unit

The structure in POSCAR format:
```
Nd2DyAs3Rh4
1.0
-2.7541 2.6692 -1.5612
-2.2958 -3.1656 -1.3620
-5.7174 -0.1111 9.8956
Nd As Rh Dy
2 3 4 1
direct
0.5000 0.0000 0.2250
0.0000 0.5000 0.7750
0.5000 0.0000 0.8722
0.0000 0.0000 0.5000
0.0000 0.5000 0.1278
0.5000 0.5000 0.0000
0.5000 0.0000 0.6593
0.0000 0.0000 0.0000
0.0000 0.5000 0.3407
0.5000 0.5000 0.5000
```

Below is a geometry-optimized Cd2FeAs structure, with properties calculated at the PBE-GGA level.

crystal system: monoclinic
E_tot: -3.595 eV/atom
density: 7.5 Mg/m³
M_tot: 1.59 μB per formula unit
ΔE_f: 0.6 eV per formula unit

The structure in POSCAR format:
```
Cd2FeAs
1.0
6.4507 0.0148 0.0551
5.7828 2.8584 0.0551
1.6473 0.3869 4.3206
Cd Fe As
2 1 1
direct
0.0067 0.0067 0.9932
0.1873 0.1873 0.3120
0.4820 0.4820 0.5182
0.8240 0.8240 0.6766
```

Below is a geometry-optimized Zn5Cd2Au4 structure, with properties calculated at the PBE-GGA level.

crystal system: orthorhombic
E_tot: -1.981 eV/atom
density: 9.9 Mg/m³
M_tot: 0.00 μB per formula unit
ΔE_f: -0.5 eV per formula unit

The structure in POSCAR format:
```
Zn5Cd2Au4
1.0
-3.2271 -2.7625 -2.8161
0.0478 -6.1869 1.4024
-7.0906 -0.2520 3.7607
Cd Au Zn
2 4 5
direct
0.1738 0.0000 0.6524
0.8262 0.0000 0.3476
0.5031 0.2590 0.7349
0.4969 0.7410 0.2651
0.2379 0.2590 0.2651
0.7621 0.7410 0.7349
0.5000 0.0000 0.0000
0.5000 0.5000 0.0000
0.2500 0.5000 0.5000
0.7500 0.5000 0.5000
0.0000 0.5000 0.0000
```

Below is a geometry-optimized ZrTaH3 structure, with properties calculated at the PBE-GGA level.

crystal system: cubic
E_tot: -6.183 eV/atom
density: 9.4 Mg/m³
M_tot: 0.00 μB per formula unit
E above lowest polymorph: 197 meV per atom

The structure in POSCAR format:
```
ZrTaH3
1.0
-1.5947 -2.8938 1.5445
3.2795 -1.4414 0.6854
0.0666 1.6884 3.2322
H Ta Zr
3 1 1
direct
0.5000 0.0000 0.0000
0.0000 0.0000 0.5000
0.0000 0.5000 0.0000
0.0000 0.0000 0.0000
0.5000 0.5000 0.5000
```

Below is a geometry-optimized Re2MoIrPd structure, with properties calculated at the PBE-GGA level.

crystal system: tetragonal
E_tot: -7.981 eV/atom
density: 12.4 Mg/m³
M_tot: 0.00 μB per formula unit
ΔE_f: 9.9 eV per formula unit

The structure in POSCAR format:
```
Re2MoIrPd
1.0
-4.0564 -0.9693 -2.1444
-1.7224 -1.6779 4.0165
-1.6003 4.2694 1.0972
Pd Re Mo Ir
1 2 1 1
direct
0.5000 0.5000 0.5000
0.0000 0.0000 0.5000
0.5000 0.0000 0.0000
0.0000 0.5000 0.0000
0.0000 0.0000 0.0000
```

Below is a geometry-optimized CsNaMg structure, with properties calculated at the PBE-GGA level.

crystal system: triclinic
E_tot: -1.143 eV/atom
density: 1.8 Mg/m³
M_tot: 0.00 μB per formula unit
E above lowest polymorph: 0 meV per atom
ΔE_f: 0.3 eV per formula unit

The structure in POSCAR format:
```
CsNaMg
1.0
5.3779 -0.0025 -0.0045
-2.6843 4.6612 0.0007
-2.6074 -1.5780 13.5946
Na Cs Mg
2 2 2
direct
0.9381 0.5797 0.4582
0.0898 0.6588 0.6925
0.5624 0.3972 0.9065
0.1331 0.1728 0.2454
0.6801 0.9521 0.5747
0.3465 0.2854 0.5751
```

Below is a geometry-optimized Li2ScSbTe4 structure, with properties calculated at the PBE-GGA level.

crystal system: monoclinic
E_tot: -4.158 eV/atom
density: 5.2 Mg/m³
ΔE_f (raw): -6.42 eV/f.u.
M_tot: 0.00 μB per formula unit

The structure in POSCAR format:
```
Li2ScSbTe4
1.0
4.2535 0.0000 0.0000
0.0000 7.4296 0.1307
0.0000 -2.5882 6.9334
Sc Li Te Sb
1 2 4 1
direct
0.5000 0.5000 0.0000
0.0000 0.5000 0.5000
0.5000 0.0000 0.5000
0.0000 0.7409 0.2443
0.5000 0.7385 0.7479
0.0000 0.2591 0.7557
0.5000 0.2615 0.2521
0.0000 0.0000 0.0000
```

Below is a geometry-optimized NaPdSN2 structure, with properties calculated at the PBE-GGA level.

crystal system: tetragonal
E_tot: -3.281 eV/atom
density: 3.4 Mg/m³
ΔE_f (raw): 10.89 eV/f.u.
M_tot: 5.67 μB per formula unit
E above lowest polymorph: 1161 meV per atom

The structure in POSCAR format:
```
NaPdSN2
1.0
-3.2852 -0.8504 -2.4889
1.9857 -3.4134 -1.4547
-2.1724 -2.9094 3.8615
S N Na Pd
1 2 1 1
direct
0.0000 0.0000 0.5000
0.0000 0.5000 0.0000
0.5000 0.0000 0.0000
0.0000 0.0000 0.0000
0.5000 0.5000 0.5000
```

Below is a geometry-optimized SnB3Rh structure, with properties calculated at the PBE-GGA level.

crystal system: cubic
E_tot: -3.836 eV/atom
density: 5.1 Mg/m³
M_tot: 0.00 μB per formula unit
E above lowest polymorph: 1375 meV per atom
ΔE_f: 12.2 eV per formula unit

The structure in POSCAR format:
```
SnB3Rh
1.0
4.3700 0.0000 0.0000
0.0000 4.3700 0.0000
0.0000 0.0000 4.3700
B Rh Sn
3 1 1
direct
0.5000 0.0000 0.0000
0.0000 0.0000 0.5000
0.0000 0.5000 0.0000
0.5000 0.5000 0.5000
0.0000 0.0000 0.0000
```

Below is a geometry-optimized Ca2MgSe structure, with properties calculated at the PBE-GGA level.

crystal system: orthorhombic
E_tot: -3.046 eV/atom
density: 2.7 Mg/m³
ΔE_f (raw): -3.10 eV/f.u.
M_tot: 0.00 μB per formula unit
E above lowest polymorph: 112 meV per atom

The structure in POSCAR format:
```
Ca2MgSe
1.0
4.0483 0.0000 0.0000
0.0000 4.7030 -0.0034
0.0000 2.3584 6.0221
Se Mg Ca
1 1 2
direct
0.5000 0.5307 0.8139
0.0000 0.6997 0.4759
0.5000 0.2843 0.3059
0.0000 0.9854 0.9043
```

Below is a geometry-optimized Er5PaC4 structure, with properties calculated at the PBE-GGA level.

crystal system: monoclinic
E_tot: -7.273 eV/atom
density: 9.4 Mg/m³
M_tot: 0.00 μB per formula unit
ΔE_f: -3.5 eV per formula unit

The structure in POSCAR format:
```
Er5PaC4
1.0
3.4961 0.0000 -0.7613
-0.3606 7.0123 -1.6561
-0.0876 0.0982 8.0057
Er C Pa
5 4 1
direct
0.5000 0.5000 0.0000
0.8324 0.1489 0.6647
0.1616 0.3126 0.3232
0.8384 0.6874 0.6768
0.1676 0.8511 0.3353
0.9981 0.7563 0.9962
0.3363 0.9166 0.6726
0.6637 0.0834 0.3274
0.0019 0.2437 0.0038
0.5000 0.0000 0.0000
```

Below is a geometry-optimized TaTlCl2 structure, with properties calculated at the PBE-GGA level.

crystal system: tetragonal
E_tot: -4.277 eV/atom
density: 6.6 Mg/m³
ΔE_f (raw): 0.80 eV/f.u.
M_tot: 0.00 μB per formula unit
E above lowest polymorph: 712 meV per atom

The structure in POSCAR format:
```
TaTlCl2
1.0
-0.7393 4.3067 3.4690
-4.4820 1.5835 -2.9211
-6.8985 -1.2560 4.5758
Tl Cl Ta
2 4 2
direct
0.7500 0.2500 0.5000
0.0000 0.0000 0.0000
0.8750 0.7383 0.7500
0.3750 0.5117 0.7500
0.4883 0.1250 0.2500
0.2617 0.6250 0.2500
0.2500 0.7500 0.5000
0.5000 0.5000 0.0000
```